[1]
First-principles (PBE) data for an optimized crystal structure of KTaTe4, as listed in the Alexandria database.

The structure in CIF format:
```
data_KTaTe4
_chemical_formula_sum 'K4 Ta4 Te16'
_space_group_name_H-M_alt 'F -4 3 m'
_space_group_IT_number 216
_space_group_name_Hall 'F -4 2 3'
_cell_length_a 9.077
_cell_length_b 9.077
_cell_length_c 9.077
_cell_angle_alpha 90.00
_cell_angle_beta 90.00
_cell_angle_gamma 90.00
loop_
_atom_site_label
_atom_site_fract_x
_atom_site_fract_y
_atom_site_fract_z
_atom_site_occupancy
K1 0.000 0.000 0.000 1
Ta1 0.250 0.250 0.750 1
Te1 0.124 0.124 0.376 1
```

Summary:
* formation energy (no corrections): 762 meV per atom
* DFT total energy: -83.786 eV per cell

---

[2]
First-principles (PBE) data for an optimized crystal structure of K2TaTe, as listed in the Alexandria database.

The structure in CIF format:
```
data_K2TaTe
_chemical_formula_sum 'K4 Ta2 Te2'
_space_group_name_H-M_alt 'C m m m'
_space_group_IT_number 65
_space_group_name_Hall '-C 2 2'
_cell_length_a 4.006
_cell_length_b 4.912
_cell_length_c 11.914
_cell_angle_alpha 90.00
_cell_angle_beta 90.00
_cell_angle_gamma 90.00
loop_
_atom_site_label
_atom_site_fract_x
_atom_site_fract_y
_atom_site_fract_z
_atom_site_occupancy
K1 0.000 0.000 0.239 1
Ta1 0.000 0.500 0.500 1
Te1 0.000 0.500 0.000 1
```

Summary:
* formation energy (no corrections): 640 meV per atom
* DFT total energy: -29.261 eV per cell

---

[3]
First-principles (PBE) data for an optimized crystal structure of K2TaTe, as listed in the Alexandria database.

The structure in CIF format:
```
data_K2TaTe
_chemical_formula_sum 'K2 Ta1 Te1'
_space_group_name_H-M_alt 'P 4 m m'
_space_group_IT_number 99
_cell_length_a 3.626
_cell_length_b 3.626
_cell_length_c 10.904
_cell_angle_alpha 90.00
_cell_angle_beta 90.00
_cell_angle_gamma 90.00
loop_
_space_group_symop_operation_xyz
'x,y,z'
'-y,x,z'
'-x,-y,z'
'y,-x,z'
'-x,y,z'
'y,x,z'
'x,-y,z'
'-y,-x,z'
loop_
_atom_site_label
_atom_site_fract_x
_atom_site_fract_y
_atom_site_fract_z
_atom_site_occupancy
K1 0.000 0.000 0.000 1
K2 0.500 0.500 0.393 1
Ta1 0.000 0.000 0.647 1
Te1 0.500 0.500 0.761 1
```

Summary:
* formation energy (no corrections): 326 meV per atom
* DFT total energy: -15.886 eV per cell

---

[4]
First-principles (PBE) data for an optimized crystal structure of K2TaTe, as listed in the Alexandria database.

The structure in CIF format:
```
data_K2TaTe
_chemical_formula_sum 'K4 Ta2 Te2'
_space_group_name_H-M_alt 'C 1 2/m 1'
_space_group_IT_number 12
_cell_length_a 6.111
_cell_length_b 12.040
_cell_length_c 3.127
_cell_angle_alpha 90.00
_cell_angle_beta 90.08
_cell_angle_gamma 90.00
loop_
_space_group_symop_operation_xyz
'x,y,z'
'-x,-y,-z'
'-x,y,-z'
'x,-y,z'
'x+1/2,y+1/2,z'
'-x+1/2,-y+1/2,-z'
'-x+1/2,y+1/2,-z'
'x+1/2,-y+1/2,z'
loop_
_atom_site_label
_atom_site_fract_x
_atom_site_fract_y
_atom_site_fract_z
_atom_site_occupancy
K1 0.250 0.250 0.000 1
Ta1 0.000 0.000 0.500 1
Te1 0.000 0.500 0.500 1
```

Summary:
* formation energy (no corrections): 720 meV per atom
* DFT total energy: -28.621 eV per cell

---

[5]
First-principles (PBE) data for an optimized crystal structure of K2TaTe, as listed in the Alexandria database.

The structure in CIF format:
```
data_K2TaTe
_chemical_formula_sum 'K6 Ta3 Te3'
_space_group_name_H-M_alt 'R -3 m'
_space_group_IT_number 166
_space_group_name_Hall '-R 3 2"'
_cell_length_a 3.2816
_cell_length_b 3.2816
_cell_length_c 36.6677
_cell_angle_alpha 90.00
_cell_angle_beta 90.00
_cell_angle_gamma 120.00
loop_
_atom_site_label
_atom_site_fract_x
_atom_site_fract_y
_atom_site_fract_z
_atom_site_occupancy
K1 0.0000 0.0000 0.2474 1
Ta1 0.0000 0.0000 0.0000 1
Te1 0.0000 0.0000 0.5000 1
```

Summary:
* formation energy (no corrections): 685 meV per atom
* DFT total energy: -43.343 eV per cell

---

[6]
First-principles (PBE) data for an optimized crystal structure of K2TaTe, as listed in the Alexandria database.

The structure in CIF format:
```
data_K2TaTe
_chemical_formula_sum 'K8 Ta4 Te4'
_space_group_name_H-M_alt 'I -4 2 d'
_space_group_IT_number 122
_space_group_name_Hall 'I -4 2bw'
_cell_length_a 12.634
_cell_length_b 12.634
_cell_length_c 5.369
_cell_angle_alpha 90.00
_cell_angle_beta 90.00
_cell_angle_gamma 90.00
loop_
_atom_site_label
_atom_site_fract_x
_atom_site_fract_y
_atom_site_fract_z
_atom_site_occupancy
K1 0.094 0.750 0.125 1
Ta1 0.000 0.000 0.500 1
Te1 0.000 0.000 0.000 1
```

Summary:
* formation energy (no corrections): 626 meV per atom
* DFT total energy: -58.743 eV per cell

---

| no. | size of the total moment (Bohr magnetons per cell) | V (A^3/atom) |
| --- | --- | --- |
| 1 | 14.911 | 31.16 |
| 2 | 0.998 | 29.31 |
| 3 | 0.799 | 35.85 |
| 4 | 0.006 | 28.76 |
| 5 | 0.945 | 28.50 |
| 6 | 12.136 | 53.56 |